! Cu5Pt7, PBEsol geometry, DFT SCAN; values from VASP
! - DFT formation energy (kcal/mol of atoms) = -2.7
! - energy relative to the lowest polymorph listed for this composition (kJ/mol of formula units) = 11
! - calculated total energy (eV per atom) = -47.396
! - space group = P-1
&SYSTEM
  ibrav = 0, nat = 12, ntyp = 2
/
ATOMIC_SPECIES
Cu 63.55 Cu.upf
Pt 195.08 Pt.upf
CELL_PARAMETERS angstrom
5.342 0.000 0.000
2.635 5.356 0.000
1.348 1.323 5.723
ATOMIC_POSITIONS crystal
Cu 0.000 0.000 0.000
Cu 0.334 0.665 0.335
Cu 0.416 0.833 0.665
Cu 0.584 0.167 0.335
Cu 0.666 0.335 0.665
Pt 0.087 0.159 0.336
Pt 0.175 0.329 0.662
Pt 0.253 0.503 0.999
Pt 0.500 0.000 0.000
Pt 0.747 0.497 0.001
Pt 0.825 0.671 0.338
Pt 0.913 0.841 0.664

=====

! CuPt2, PBEsol geometry, DFT SCAN; values from VASP
! - DFT formation energy (kcal/mol of atoms) = -0.4
! - calculated total energy (eV per atom) = -51.878
! - space group = P-62m
&SYSTEM
  ibrav = 0, nat = 9, ntyp = 2
/
ATOMIC_SPECIES
Cu 63.55 Cu.upf
Pt 195.08 Pt.upf
CELL_PARAMETERS angstrom
7.320 0.000 0.000
-3.660 6.339 0.000
0.000 0.000 2.697
ATOMIC_POSITIONS crystal
Cu 0.000 0.000 0.000
Cu 0.333 0.667 0.500
Cu 0.667 0.333 0.500
Pt 0.000 0.298 0.500
Pt 0.000 0.633 0.000
Pt 0.298 0.000 0.500
Pt 0.367 0.367 0.000
Pt 0.633 0.000 0.000
Pt 0.702 0.702 0.500

=====

! Cu5Pt3, PBEsol geometry, DFT SCAN; values from VASP
! - DFT formation energy (kcal/mol of atoms) = -3.6
! - calculated total energy (eV per atom) = -35.979
! - space group = C2/m
&SYSTEM
  ibrav = 0, nat = 8, ntyp = 2
/
ATOMIC_SPECIES
Cu 63.55 Cu.upf
Pt 195.08 Pt.upf
CELL_PARAMETERS angstrom
4.465 -2.689 0.000
4.465 2.689 0.000
-1.232 0.000 4.274
ATOMIC_POSITIONS crystal
Cu 0.000 0.000 0.000
Cu 0.000 0.500 0.000
Cu 0.246 0.754 0.500
Cu 0.500 0.000 0.000
Cu 0.754 0.246 0.500
Pt 0.247 0.247 0.493
Pt 0.500 0.500 0.000
Pt 0.753 0.753 0.507

=====

! Cu24Pt5, PBEsol geometry, DFT SCAN; values from VASP
! - DFT formation energy (kcal/mol of atoms) = -1.1
! - calculated total energy (eV per atom) = -24.729
! - space group = I-43m
&SYSTEM
  ibrav = 0, nat = 29, ntyp = 2
/
ATOMIC_SPECIES
Cu 63.55 Cu.upf
Pt 195.08 Pt.upf
CELL_PARAMETERS angstrom
-4.426 4.426 4.426
4.426 -4.426 4.426
4.426 4.426 -4.426
ATOMIC_POSITIONS crystal
Cu 0.000 0.321 0.598
Cu 0.000 0.598 0.321
Cu 0.000 0.624 0.809
Cu 0.000 0.809 0.624
Cu 0.186 0.376 0.376
Cu 0.191 0.191 0.814
Cu 0.191 0.814 0.191
Cu 0.276 0.679 0.679
Cu 0.321 0.000 0.598
Cu 0.321 0.598 0.000
Cu 0.376 0.186 0.376
Cu 0.376 0.376 0.186
Cu 0.402 0.402 0.724
Cu 0.402 0.724 0.402
Cu 0.598 0.000 0.321
Cu 0.598 0.321 0.000
Cu 0.624 0.000 0.809
Cu 0.624 0.809 0.000
Cu 0.679 0.276 0.679
Cu 0.679 0.679 0.276
Cu 0.724 0.402 0.402
Cu 0.809 0.000 0.624
Cu 0.809 0.624 0.000
Cu 0.814 0.191 0.191
Pt 0.000 0.000 0.000
Pt 0.000 0.000 0.368
Pt 0.000 0.368 0.000
Pt 0.368 0.000 0.000
Pt 0.632 0.632 0.632

=====

! Cu7Pt3, PBEsol geometry, DFT SCAN; values from VASP
! - DFT formation energy (kcal/mol of atoms) = -1.4
! - calculated total energy (eV per atom) = -31.757
! - space group = Pmm2
&SYSTEM
  ibrav = 0, nat = 10, ntyp = 2
/
ATOMIC_SPECIES
Cu 63.55 Cu.upf
Pt 195.08 Pt.upf
CELL_PARAMETERS angstrom
2.656 0.000 0.000
0.000 3.578 0.000
0.000 0.000 13.226
ATOMIC_POSITIONS crystal
Cu 0.000 0.000 0.000
Cu 0.000 0.000 0.186
Cu 0.000 0.000 0.605
Cu 0.000 0.000 0.812
Cu 0.500 0.500 0.093
Cu 0.500 0.500 0.281
Cu 0.500 0.500 0.906
Pt 0.000 0.000 0.382
Pt 0.500 0.500 0.501
Pt 0.500 0.500 0.710

=====

! CuRePt2, PBEsol geometry, DFT SCAN; values from VASP
! - DFT formation energy (kcal/mol of atoms) = 0.0
! - energy relative to the lowest polymorph listed for this composition (kJ/mol of formula units) = 75
! - calculated total energy (eV per atom) = -56.672
! - space group = I4/mmm
&SYSTEM
  ibrav = 0, nat = 4, ntyp = 3
/
ATOMIC_SPECIES
Cu 63.55 Cu.upf
Re 186.21 Re.upf
Pt 195.08 Pt.upf
CELL_PARAMETERS angstrom
-1.894 1.894 3.884
1.894 -1.894 3.884
1.894 1.894 -3.884
ATOMIC_POSITIONS crystal
Cu 0.000 0.000 0.000
Re 0.500 0.500 0.000
Pt 0.250 0.750 0.500
Pt 0.750 0.250 0.500